--- one ---
RbNaSnSe2 | the Alexandria database | PBE | relaxed; calculated volume = 37.0 Å³/atom
1.0
-0.316 4.654 0.833
-3.273 -1.283 -7.551
-8.600 -1.386 4.477
Rb Na Sn Se
2 2 2 4
Direct
0.332 0.665 0.324
0.668 0.335 0.676
0.694 0.389 0.063
0.306 0.611 0.937
0.061 0.122 0.215
0.939 0.878 0.785
0.353 0.706 0.670
0.647 0.294 0.330
0.124 0.248 0.959
0.876 0.752 0.041

---

--- two ---
RbNaSnSe2 | the Alexandria database | PBE | relaxed; calculated volume = 44.9 Å³/atom
1.0
6.131 0.000 0.000
0.000 5.978 0.000
0.000 0.000 6.131
Na Se Sn Rb
1 2 1 1
Direct
0.500 0.500 0.500
0.000 0.000 0.500
0.500 0.000 0.000
0.000 0.500 0.000
0.000 0.000 0.000

---

Most stable pick: one. Distance to second place: 1343 meV per atom.

---

--- one ---
RbNa3Si | the Alexandria database | PBE | relaxed; calculated volume = 36.8 Å³/atom
1.0
-6.984 0.071 2.600
-0.094 -9.159 5.296
1.901 0.708 10.384
Rb Na Si
4 12 4
Direct
0.250 0.967 0.033
0.750 0.033 0.967
0.250 0.358 0.642
0.750 0.642 0.358
0.578 0.651 0.000
0.922 0.000 0.349
0.422 0.349 0.000
0.078 0.000 0.651
0.905 0.354 0.000
0.595 0.000 0.646
0.095 0.646 0.000
0.405 0.000 0.354
0.420 0.668 0.667
0.080 0.333 0.332
0.580 0.332 0.333
0.920 0.667 0.668
0.725 0.398 0.732
0.775 0.268 0.602
0.275 0.602 0.268
0.225 0.732 0.398

---

--- two ---
RbNa3Si | the Alexandria database | PBE | relaxed; calculated volume = 43.1 Å³/atom
1.0
5.995 0.000 0.000
0.000 5.995 0.000
0.000 0.000 5.995
Na Si Rb
3 1 1
Direct
0.000 0.500 0.000
0.000 0.000 0.500
0.500 0.000 0.000
0.500 0.500 0.500
0.000 0.000 0.000

---

Most stable pick: one. Distance to second place: 899 meV per atom.

---

--- one ---
RbNa2Si2 | the Alexandria database | PBE | relaxed; calculated volume = 30.1 Å³/atom
1.0
5.449 0.000 0.000
0.000 5.449 0.000
2.725 2.725 5.076
Na Si Rb
2 2 1
Direct
0.750 0.250 0.500
0.250 0.750 0.500
0.391 0.391 0.217
0.609 0.609 0.783
0.000 0.000 0.000

---

--- two ---
RbNa2Si2 | the Alexandria database | PBE | relaxed; calculated volume = 26.1 Å³/atom
1.0
-5.920 -0.285 6.416
-5.960 -3.009 -5.633
0.939 -3.215 0.724
Na Si Rb
4 4 2
Direct
0.316 0.816 0.000
0.816 0.684 0.000
0.684 0.184 0.000
0.184 0.316 0.000
0.096 0.596 0.500
0.596 0.904 0.500
0.904 0.404 0.500
0.404 0.096 0.500
0.000 0.000 0.000
0.500 0.500 0.000

---

--- three ---
RbNa2Si2 | the Alexandria database | PBE | relaxed; calculated volume = 27.4 Å³/atom
1.0
8.723 0.000 0.000
0.000 8.723 0.000
0.000 0.000 3.596
Na Si Rb
4 4 2
Direct
0.186 0.686 0.500
0.686 0.814 0.500
0.814 0.314 0.500
0.314 0.186 0.500
0.404 0.904 0.000
0.904 0.596 0.000
0.596 0.096 0.000
0.096 0.404 0.000
0.000 0.000 0.000
0.500 0.500 0.000

---

Most stable pick: one. Distance to second place: 130 meV per atom.

---

--- one ---
RbNa2Sn2 | the Alexandria database | PBE | relaxed; calculated volume = 37.0 Å³/atom
1.0
-0.790 0.749 -5.733
0.238 -5.777 -0.787
-5.648 -2.830 -2.561
Na Sn Rb
2 2 1
Direct
0.750 0.250 0.500
0.250 0.750 0.500
0.375 0.375 0.250
0.625 0.625 0.750
0.000 0.000 0.000

---

--- two ---
RbNa2Sn2 | the Alexandria database | PBE | relaxed; calculated volume = 32.9 Å³/atom
1.0
-8.671 3.408 -1.814
-2.376 -8.225 -4.097
-1.170 -1.265 3.218
Na Sn Rb
4 4 2
Direct
0.178 0.678 0.500
0.678 0.822 0.500
0.822 0.322 0.500
0.322 0.178 0.500
0.390 0.890 0.000
0.890 0.610 0.000
0.610 0.110 0.000
0.110 0.390 0.000
0.000 0.000 0.000
0.500 0.500 0.000

---

--- three ---
RbNa2Sn2 | the Alexandria database | PBE | relaxed; calculated volume = 40.5 Å³/atom
1.0
-1.312 4.096 1.894
-5.315 -0.154 -3.349
-1.380 -5.373 4.832
Rb Na Sn
1 2 2
Direct
0.000 0.000 0.000
0.334 0.419 0.668
0.666 0.581 0.332
0.715 0.104 0.430
0.285 0.896 0.570

---

Most stable pick: three. Distance to second place: 22 meV per atom.

---

--- one ---
Rb2Na4Sn | the Alexandria database | PBE | relaxed; calculated volume = 45.7 Å³/atom
1.0
8.441 0.000 -1.101
0.000 7.169 0.000
-4.427 0.000 11.157
Rb Na Sn
4 8 2
Direct
0.843 0.750 0.979
0.157 0.250 0.021
0.313 0.250 0.399
0.687 0.750 0.601
0.671 0.503 0.291
0.350 0.750 0.986
0.650 0.250 0.014
0.671 0.997 0.291
0.907 0.250 0.621
0.329 0.003 0.709
0.329 0.497 0.709
0.093 0.750 0.379
0.331 0.750 0.239
0.669 0.250 0.761

---

--- two ---
Rb2Na4Sn | the Alexandria database | PBE | relaxed; calculated volume = 51.7 Å³/atom
1.0
6.048 0.000 0.000
0.000 6.048 0.000
3.024 3.024 9.892
Na Sn Rb
4 1 2
Direct
0.845 0.845 0.309
0.155 0.155 0.691
0.000 0.500 0.000
0.500 0.000 0.000
0.000 0.000 0.000
0.638 0.638 0.723
0.362 0.362 0.277

---

Most stable pick: one. Distance to second place: 20 meV per atom.

---

--- one ---
Rb3NaSn | the Alexandria database | PBE | relaxed; calculated volume = 56.3 Å³/atom
1.0
-8.359 -2.463 4.033
3.081 -6.931 2.152
3.542 5.710 13.318
Rb Na Sn
12 4 4
Direct
0.506 0.230 0.383
0.506 0.770 0.883
0.263 0.320 0.822
0.153 0.885 0.064
0.263 0.680 0.322
0.494 0.770 0.617
0.847 0.885 0.436
0.737 0.320 0.678
0.847 0.115 0.936
0.737 0.680 0.178
0.494 0.230 0.117
0.153 0.115 0.564
0.082 0.384 0.108
0.082 0.616 0.608
0.918 0.384 0.392
0.918 0.616 0.892
0.145 0.153 0.284
0.855 0.153 0.216
0.145 0.847 0.784
0.855 0.847 0.716

---

--- two ---
Rb3NaSn | the Alexandria database | PBE | relaxed; calculated volume = 75.4 Å³/atom
1.0
7.223 0.000 0.000
0.000 7.223 0.000
0.000 0.000 7.223
Na Sn Rb
1 1 3
Direct
0.500 0.500 0.500
0.000 0.000 0.000
0.000 0.500 0.000
0.000 0.000 0.500
0.500 0.000 0.000

---

Most stable pick: one. Distance to second place: 169 meV per atom.

---

--- one ---
RbNa6Sn2 | the Alexandria database | PBE | relaxed; calculated volume = 34.0 Å³/atom
1.0
-2.673 2.844 -4.025
-0.847 -5.103 -6.996
-6.867 -4.631 -2.665
Rb Na Sn
1 6 2
Direct
0.000 0.000 0.000
0.291 0.940 0.479
0.709 0.060 0.521
0.709 0.521 0.060
0.500 0.305 0.695
0.500 0.695 0.305
0.291 0.479 0.940
0.109 0.392 0.392
0.891 0.608 0.608

---

--- two ---
RbNa6Sn2 | the Alexandria database | PBE | relaxed; calculated volume = 31.6 Å³/atom
1.0
5.232 0.000 1.555
2.198 4.588 2.185
-0.706 0.930 11.954
Rb Na Sn
1 6 2
Direct
0.000 0.500 0.500
0.669 0.717 0.946
0.331 0.283 0.054
0.001 0.827 0.171
0.334 0.985 0.347
0.999 0.173 0.829
0.666 0.015 0.653
0.332 0.585 0.751
0.668 0.415 0.249

---

Most stable pick: two. Distance to second place: 81 meV per atom.

---

--- one ---
RbNa5Sr | the Alexandria database | PBE | relaxed; calculated volume = 51.6 Å³/atom
1.0
6.895 0.000 0.000
0.000 6.895 0.000
0.000 0.000 7.603
Rb Na Sr
1 5 1
Direct
0.000 0.000 0.500
0.000 0.500 0.757
0.000 0.500 0.243
0.500 0.000 0.757
0.500 0.000 0.243
0.500 0.500 0.500
0.500 0.500 0.000

---

--- two ---
RbNa5Sr | the Alexandria database | PBE | relaxed; calculated volume = 50.9 Å³/atom
1.0
-4.481 -2.264 -1.576
1.664 -4.616 1.899
-5.379 2.735 11.363
Rb Na Sr
1 5 1
Direct
0.000 0.000 0.500
0.000 0.500 0.229
0.000 0.500 0.771
0.500 0.000 0.229
0.500 0.000 0.771
0.000 0.000 0.000
0.500 0.500 0.000

---

Most stable pick: two. Distance to second place: 67 meV per atom.

---

--- one ---
RbNa4Sr | the Alexandria database | PBE | relaxed; calculated volume = 47.2 Å³/atom
1.0
7.370 0.000 0.000
3.685 6.382 0.000
3.685 2.127 6.017
Sr Rb Na
1 1 4
Direct
0.000 0.000 0.000
0.250 0.250 0.250
0.626 0.626 0.122
0.626 0.122 0.626
0.626 0.626 0.626
0.122 0.626 0.626

---

--- two ---
RbNa4Sr | the Alexandria database | PBE | relaxed; calculated volume = 49.6 Å³/atom
1.0
-1.952 5.828 -0.937
-1.192 -4.396 -4.232
-7.642 -1.896 4.123
Rb Na Sr
1 4 1
Direct
0.000 0.000 0.500
0.667 0.333 0.789
0.333 0.667 0.211
0.667 0.333 0.211
0.333 0.667 0.789
0.000 0.000 0.000

---

Most stable pick: one. Distance to second place: 11 meV per atom.

---

--- one ---
RbNa2Sr2 | the Alexandria database | PBE | relaxed; calculated volume = 55.9 Å³/atom
1.0
4.505 0.000 0.000
0.000 4.505 0.000
2.253 2.253 13.769
Sr Rb Na
2 1 2
Direct
0.371 0.371 0.258
0.629 0.629 0.742
0.000 0.000 0.000
0.750 0.250 0.500
0.250 0.750 0.500

---

--- two ---
RbNa2Sr2 | the Alexandria database | PBE | relaxed; calculated volume = 54.9 Å³/atom
1.0
11.388 0.000 0.000
0.000 11.388 0.000
0.000 0.000 4.233
Sr Rb Na
4 2 4
Direct
0.374 0.874 0.000
0.874 0.626 0.000
0.626 0.126 0.000
0.126 0.374 0.000
0.000 0.000 0.000
0.500 0.500 0.000
0.166 0.666 0.500
0.666 0.834 0.500
0.834 0.334 0.500
0.334 0.166 0.500

---

--- three ---
RbNa2Sr2 | the Alexandria database | PBE | relaxed; calculated volume = 53.3 Å³/atom
1.0
10.644 0.000 0.000
0.000 10.644 0.000
0.000 0.000 4.700
Sr Rb Na
4 2 4
Direct
0.156 0.656 0.500
0.656 0.844 0.500
0.844 0.344 0.500
0.344 0.156 0.500
0.000 0.000 0.000
0.500 0.500 0.000
0.367 0.867 0.000
0.867 0.633 0.000
0.633 0.133 0.000
0.133 0.367 0.000

---

Most stable pick: three. Distance to second place: 15 meV per atom.